Computed, not measured: an optimized crystal structure of Li2PC at the PBE level of DFT.

Cell: 4.288 5.290 5.330 Å, 83.01 82.75 75.58°
Positions (direct):
Li  0.000  0.000  0.000
Li  0.147  0.470  0.172
Li  0.479  0.704  0.665
Li  0.654  0.275  0.469
P  0.058  0.396  0.702
P  0.558  0.743  0.135
C  0.212  0.145  0.500
C  0.356  0.994  0.328

* excess energy over the best structure of this formula in the dataset: 34 meV per atom
* E_form: -0.190 eV/atom
* raw total energy: -19.22 eV per formula unit
* space group: P1



Computed, not measured: an optimized crystal structure of Li2PC at the PBE level of DFT.

Cell: 4.487 4.500 6.018 Å, 90.73 91.04 102.17°
Positions (direct):
Li  0.000  0.000  0.000
Li  0.001  0.799  0.474
Li  0.386  0.415  0.477
Li  0.586  0.416  0.003
P  0.099  0.514  0.818
P  0.501  0.914  0.242
C  0.729  0.143  0.446
C  0.883  0.297  0.604

* excess energy over the best structure of this formula in the dataset: 6 meV per atom
* E_form: -0.218 eV/atom
* raw total energy: -19.33 eV per formula unit
* space group: P1



Computed, not measured: an optimized crystal structure of Li2PC at the PBE level of DFT.

Cell: 3.894 4.000 7.769 Å, 75.36 80.51 89.14°
Positions (direct):
Li  0.000  0.000  0.000
Li  0.076  0.649  0.681
Li  0.500  0.500  0.000
Li  0.924  0.351  0.319
P  0.436  0.906  0.218
P  0.564  0.094  0.782
C  0.470  0.965  0.429
C  0.530  0.035  0.571

* excess energy over the best structure of this formula in the dataset: 84 meV per atom
* E_form: -0.140 eV/atom
* raw total energy: -19.02 eV per formula unit
* space group: P-1



Computed, not measured: an optimized crystal structure of Li2PC at the PBE level of DFT.

Cell: 3.968 3.968 3.968 Å, 60.00 60.00 60.00°
Positions (direct):
Li  0.250  0.250  0.250
Li  0.750  0.750  0.750
P  0.000  0.000  0.000
C  0.500  0.500  0.500

* excess energy over the best structure of this formula in the dataset: 960 meV per atom
* E_form: 0.736 eV/atom
* raw total energy: -15.52 eV per formula unit
* space group: Fm-3m



Computed, not measured: an optimized crystal structure of Li2PC at the PBE level of DFT.

Cell: 4.178 4.414 6.905 Å, 77.11 83.71 66.59°
Positions (direct):
Li  0.000  0.000  0.000
Li  0.105  0.100  0.440
Li  0.312  0.497  0.720
Li  0.491  0.428  0.292
P  0.582  0.871  0.800
P  0.763  0.728  0.504
C  0.038  0.406  0.141
C  0.841  0.580  0.994

* excess energy over the best structure of this formula in the dataset: 55 meV per atom
* E_form: -0.169 eV/atom
* raw total energy: -19.14 eV per formula unit
* space group: P1



Computed, not measured: an optimized crystal structure of LiPC at the PBE level of DFT.

Cell: 4.316 4.499 4.931 Å, 86.52 66.29 77.73°
Positions (direct):
Li  0.000  0.000  0.000
Li  0.247  0.246  0.442
P  0.504  0.249  0.857
P  0.795  0.847  0.538
C  0.174  0.740  0.587
C  0.442  0.605  0.657

* excess energy over the best structure of this formula in the dataset: 176 meV per atom
* E_form: 0.145 eV/atom
* raw total energy: -16.11 eV per formula unit
* space group: P1



Computed, not measured: an optimized crystal structure of Li2PC at the PBE level of DFT.

Cell: 6.252 6.252 6.252 Å, 94.98 94.98 145.71°
Positions (direct):
Li  0.375  0.143  0.268
Li  0.857  0.125  0.232
Li  0.875  0.107  0.732
Li  0.893  0.625  0.768
P  0.250  0.750  0.500
P  0.500  0.500  0.000
C  0.000  0.000  0.000
C  0.750  0.250  0.500

* excess energy over the best structure of this formula in the dataset: 547 meV per atom
* E_form: 0.324 eV/atom
* raw total energy: -17.17 eV per formula unit
* space group: I-42d



Computed, not measured: an optimized crystal structure of LiPC at the PBE level of DFT.

Cell: 3.803 4.873 5.948 Å, 74.37 71.36 67.24°
Positions (direct):
Li  0.226  0.238  0.310
Li  0.774  0.762  0.690
P  0.021  0.181  0.779
P  0.979  0.819  0.221
C  0.319  0.000  0.000
C  0.681  0.000  0.000

* excess energy over the best structure of this formula in the dataset: 0 meV per atom
* E_form: -0.032 eV/atom
* raw total energy: -16.64 eV per formula unit
* space group: P-1



Computed, not measured: an optimized crystal structure of Li2PC at the PBE level of DFT.

Cell: 4.269 5.010 5.718 Å, 83.86 79.70 78.99°
Positions (direct):
Li  0.171  0.215  0.067
Li  0.296  0.314  0.545
Li  0.704  0.686  0.455
Li  0.829  0.785  0.933
P  0.277  0.695  0.205
P  0.723  0.305  0.795
C  0.087  0.923  0.422
C  0.913  0.077  0.578

* excess energy over the best structure of this formula in the dataset: 0 meV per atom
* E_form: -0.224 eV/atom
* raw total energy: -19.36 eV per formula unit
* space group: P-1



Computed, not measured: an optimized crystal structure of Li2PC at the PBE level of DFT.

Cell: 4.389 5.166 5.208 Å, 86.43 82.82 82.62°
Positions (direct):
Li  0.237  0.061  0.174
Li  0.237  0.675  0.556
Li  0.763  0.325  0.444
Li  0.763  0.939  0.826
P  0.251  0.192  0.693
P  0.749  0.808  0.307
C  0.067  0.420  0.918
C  0.933  0.580  0.082

* excess energy over the best structure of this formula in the dataset: 24 meV per atom
* E_form: -0.200 eV/atom
* raw total energy: -19.26 eV per formula unit
* space group: P-1



Computed, not measured: an optimized crystal structure of Li2PC at the PBE level of DFT.

Cell: 4.329 4.329 6.380 Å, 91.52 91.52 101.60°
Positions (direct):
Li  0.000  0.000  0.000
Li  0.232  0.368  0.374
Li  0.577  0.423  0.000
Li  0.632  0.768  0.626
P  0.074  0.515  0.786
P  0.485  0.926  0.214
C  0.697  0.160  0.419
C  0.840  0.303  0.581

* excess energy over the best structure of this formula in the dataset: 13 meV per atom
* E_form: -0.211 eV/atom
* raw total energy: -19.30 eV per formula unit
* space group: C2



Computed, not measured: an optimized crystal structure of LiPC at the PBE level of DFT.

Cell: 3.814 4.825 5.508 Å, 106.70 109.92 90.43°
Positions (direct):
Li  0.000  0.000  0.000
Li  0.290  0.500  0.577
P  0.021  0.978  0.524
P  0.783  0.518  0.050
C  0.225  0.748  0.287
C  0.584  0.748  0.287

* excess energy over the best structure of this formula in the dataset: 25 meV per atom
* E_form: -0.007 eV/atom
* raw total energy: -16.57 eV per formula unit
* space group: P1



Computed, not measured: an optimized crystal structure of Li2PC at the PBE level of DFT.

Cell: 4.223 4.223 7.292 Å, 95.09 95.09 113.92°
Positions (direct):
Li  0.000  0.000  0.000
Li  0.040  0.602  0.281
Li  0.398  0.960  0.719
Li  0.559  0.441  0.500
P  0.041  0.319  0.708
P  0.681  0.959  0.292
C  0.240  0.579  0.924
C  0.421  0.760  0.076

* excess energy over the best structure of this formula in the dataset: 20 meV per atom
* E_form: -0.204 eV/atom
* raw total energy: -19.28 eV per formula unit
* space group: C2



Computed, not measured: an optimized crystal structure of LiPPd2C at the PBE level of DFT.

Cell: 4.080 4.080 4.108 Å, 90.00 90.00 90.00°
Positions (direct):
Li  0.000  0.000  0.000
P  0.500  0.500  0.000
Pd  0.000  0.500  0.500
Pd  0.500  0.000  0.500
C  0.000  0.000  0.500

* E_form: 0.307 eV/atom
* raw total energy: -25.40 eV per formula unit
* space group: P4/mmm



Computed, not measured: an optimized crystal structure of LiP2CS at the PBE level of DFT.

Cell: 3.872 3.872 5.040 Å, 90.00 90.00 90.00°
Positions (direct):
Li  0.000  0.000  0.000
P  0.000  0.500  0.500
P  0.500  0.000  0.500
C  0.500  0.500  0.500
S  0.500  0.500  0.000

* excess energy over the best structure of this formula in the dataset: 0 meV per atom
* formation energy without anion corrections: 425 kJ/mol of formula units
* raw total energy: -21.68 eV per formula unit
* space group: P4/mmm



Computed, not measured: an optimized crystal structure of LiP2CS at the PBE level of DFT.

Cell: 4.204 4.204 4.330 Å, 90.00 90.00 90.00°
Positions (direct):
Li  0.000  0.000  0.000
P  0.000  0.500  0.000
P  0.500  0.000  0.000
C  0.500  0.500  0.500
S  0.000  0.000  0.500

* excess energy over the best structure of this formula in the dataset: 1090 meV per atom
* formation energy without anion corrections: 951 kJ/mol of formula units
* raw total energy: -16.23 eV per formula unit
* space group: P4/mmm



Computed, not measured: an optimized crystal structure of LiPCS2 at the PBE level of DFT.

Cell: 4.345 4.345 4.166 Å, 90.00 90.00 90.00°
Positions (direct):
Li  0.000  0.000  0.000
P  0.000  0.000  0.500
C  0.500  0.500  0.500
S  0.000  0.500  0.000
S  0.500  0.000  0.000

* excess energy over the best structure of this formula in the dataset: 1154 meV per atom
* formation energy without anion corrections: 928 kJ/mol of formula units
* raw total energy: -15.19 eV per formula unit
* space group: P4/mmm



Computed, not measured: an optimized crystal structure of LiPCS2 at the PBE level of DFT.

Cell: 4.428 4.428 3.741 Å, 90.00 90.00 90.00°
Positions (direct):
Li  0.000  0.000  0.000
P  0.500  0.500  0.000
C  0.500  0.500  0.500
S  0.000  0.500  0.500
S  0.500  0.000  0.500

* excess energy over the best structure of this formula in the dataset: 0 meV per atom
* formation energy without anion corrections: 371 kJ/mol of formula units
* raw total energy: -20.96 eV per formula unit
* space group: P4/mmm



Computed, not measured: an optimized crystal structure of LiPC2Se at the PBE level of DFT.

Cell: 3.957 3.957 4.908 Å, 90.00 90.00 90.00°
Positions (direct):
Li  0.000  0.000  0.000
P  0.500  0.500  0.000
C  0.000  0.500  0.500
C  0.500  0.000  0.500
Se  0.500  0.500  0.500

* formation energy without anion corrections: 999 kJ/mol of formula units
* raw total energy: -18.90 eV per formula unit
* space group: P4/mmm



Computed, not measured: an optimized crystal structure of Li2TaPC at the PBE level of DFT.

Cell: 3.765 3.765 4.230 Å, 90.00 90.00 90.00°
Positions (direct):
Li  0.000  0.500  0.000
Li  0.500  0.000  0.000
Ta  0.000  0.000  0.500
P  0.500  0.500  0.500
C  0.500  0.500  0.000

* E_form: 0.783 eV/atom
* raw total energy: -26.40 eV per formula unit
* space group: P4/mmm



Computed, not measured: an optimized crystal structure of Li2TcPC at the PBE level of DFT.

Cell: 4.767 4.767 3.493 Å, 90.00 90.00 90.00°
Positions (direct):
Li  0.000  0.500  0.000
Li  0.500  0.000  0.000
Tc  0.000  0.000  0.500
P  0.500  0.500  0.000
C  0.500  0.500  0.500

* E_form: 1.278 eV/atom
* raw total energy: -22.44 eV per formula unit
* space group: P4/mmm



Computed, not measured: an optimized crystal structure of Li2TiPC at the PBE level of DFT.

Cell: 3.885 3.885 4.111 Å, 90.00 90.00 90.00°
Positions (direct):
Li  0.000  0.500  0.000
Li  0.500  0.000  0.000
Ti  0.000  0.000  0.500
P  0.500  0.500  0.500
C  0.000  0.000  0.000

* E_form: -0.154 eV/atom
* raw total energy: -27.13 eV per formula unit
* space group: P4/mmm



Computed, not measured: an optimized crystal structure of LiTlPC at the PBE level of DFT.

Cell: 3.545 3.455 6.612 Å, 90.00 105.52 90.00°
Positions (direct):
Li  0.000  0.000  0.000
Tl  0.695  0.000  0.394
P  0.410  0.500  0.818
C  0.537  0.500  0.075

* excess energy over the best structure of this formula in the dataset: 230 meV per atom
* E_form: 0.448 eV/atom
* raw total energy: -17.12 eV per formula unit
* space group: Pm



Computed, not measured: an optimized crystal structure of LiTlPC at the PBE level of DFT.

Cell: 3.807 3.807 7.780 Å, 103.84 103.84 58.75°
Positions (direct):
Li  0.000  0.000  0.000
Tl  0.559  0.559  0.658
P  0.738  0.738  0.207
C  0.668  0.668  0.991

* excess energy over the best structure of this formula in the dataset: 205 meV per atom
* E_form: 0.423 eV/atom
* raw total energy: -17.22 eV per formula unit
* space group: Cm



Computed, not measured: an optimized crystal structure of LiTlPC at the PBE level of DFT.

Cell: 3.887 3.887 6.520 Å, 107.79 107.79 60.06°
Positions (direct):
Li  0.000  0.000  0.000
Tl  0.787  0.787  0.362
P  0.266  0.266  0.803
C  0.361  0.361  0.074

* excess energy over the best structure of this formula in the dataset: 197 meV per atom
* E_form: 0.415 eV/atom
* raw total energy: -17.25 eV per formula unit
* space group: Cm



Computed, not measured: an optimized crystal structure of LiTlPC at the PBE level of DFT.

Cell: 3.038 3.038 8.083 Å, 79.87 79.78 60.26°
Positions (direct):
Li  0.000  0.000  0.000
Tl  0.778  0.784  0.681
P  0.900  0.900  0.309
C  0.598  0.597  0.211

* excess energy over the best structure of this formula in the dataset: 24 meV per atom
* E_form: 0.242 eV/atom
* raw total energy: -17.94 eV per formula unit
* space group: P1